Compound: Cs2Cu2Ir
Source: Alexandria via LeMat-Bulk
Functional: PBE
Structure: relaxed Values from VASP.

```
&SYSTEM
  ibrav = 0, nat = 10, ntyp = 3
/
ATOMIC_SPECIES
Cs 132.91 Cs.upf
Ir 192.22 Ir.upf
Cu 63.55 Cu.upf
ATOMIC_POSITIONS angstrom
Cs 1.2356 4.5965 2.8826
Cs 4.5965 5.4862 2.8826
Cs 5.4862 2.1253 2.8826
Cs 2.1253 1.2356 2.8826
Ir 0.0000 0.0000 0.0000
Ir 3.3609 3.3609 0.0000
Cu 2.4079 5.7688 0.0000
Cu 5.7688 4.3139 0.0000
Cu 4.3139 0.9530 0.0000
Cu 0.9530 2.4079 0.0000
CELL_PARAMETERS angstrom
6.7218 0.0000 0.0000
0.0000 6.7218 0.0000
0.0000 0.0000 5.7651
```

Computed properties:
DFT total energy in eV/atom: -3.065
Total magnetic moment in μB/f.u.: 0.0
Space group: P4/mbm (127)